# 1
An optimized crystal structure of YZrAgW2. Source: Alexandria, functional PBE-GGA.

Output
Formation energy from the elements, meV/atom: 1516
Symmetry: No. 123

Cell: 4.8620 5.2166 4.8620 Å, 90.00 90.00 90.00°
Sites, in units of the cell vectors:
Ag1 0.0000 0.5000 0.0000
Y1 0.5000 0.5000 0.5000
W1 0.0000 0.0000 0.5000
W2 0.5000 0.0000 0.0000
Zr1 0.0000 0.0000 0.0000

---

# 2
An optimized crystal structure of Dy3TlPt. Source: Alexandria, functional PBE-GGA.

Output
Formation energy from the elements, meV/atom: -571
Offset from the most stable computed form, kJ/mol of formula units: 42
Symmetry: No. 63

Cell: 3.7918 8.0053 9.9358 Å, 90.00 90.00 103.70°
Sites, in units of the cell vectors:
Tl1 0.0000 0.0000 0.0000
Dy1 0.3389 0.6778 0.0706
Dy2 0.6611 0.3222 0.9294
Pt1 0.2448 0.4896 0.7500
Dy3 0.6611 0.3222 0.5706
Tl2 0.0000 0.0000 0.5000
Dy4 0.3389 0.6778 0.4294
Dy5 0.8753 0.7506 0.7500
Dy6 0.1247 0.2494 0.2500
Pt2 0.7552 0.5104 0.2500

---

Q: Look up the formation energy from the elements of the second one.
A: -571 meV/atom